No. 1
MgCuPb: relaxed, GGA-PBE.

Crystal system: orthorhombic
E in eV/cell: -34.39
Symmetry: Pnma (62)

Unit cell a=7.2674 b=3.4884 c=10.2683 alpha=90.00 beta=90.00 gamma=90.00
Fractional coordinates of all 12 atoms:
Pb1 0.8948 0.7500 0.1353
Pb2 0.3948 0.7500 0.3647
Pb3 0.6052 0.2500 0.6353
Pb4 0.1052 0.2500 0.8647
Cu1 0.8940 0.7500 0.5415
Cu2 0.3940 0.7500 0.9585
Cu3 0.1060 0.2500 0.4585
Cu4 0.6060 0.2500 0.0415
Mg1 0.2590 0.2500 0.1439
Mg2 0.2410 0.7500 0.6439
Mg3 0.7590 0.2500 0.3561
Mg4 0.7410 0.7500 0.8561

---

No. 2
UTe: relaxed, GGA-PBE.

Crystal system: cubic
E in eV/cell: -13.76
Magnetization in Bohr magnetons per cell: 4.00
Symmetry: F-43m (216)

Unit cell a=4.9428 b=4.9428 c=4.9428 alpha=60.00 beta=60.00 gamma=60.00
Fractional coordinates of all 2 atoms:
Te1 0.0000 0.0000 0.0000
U1 0.2500 0.2500 0.2500

---

No. 3
SmTaBi: relaxed, GGA-PBE.

Crystal system: cubic
E in eV/cell: -17.56
E above lowest polymorph in meV per atom: 467
Magnetization in Bohr magnetons per cell: 3.16
Symmetry: F-43m (216)

Unit cell a=5.1394 b=5.1394 c=5.1394 alpha=60.00 beta=60.00 gamma=60.00
Fractional coordinates of all 3 atoms:
Sm1 0.0000 0.0000 0.0000
Bi1 0.2500 0.2500 0.2500
Ta1 0.7500 0.7500 0.7500